[1]
# Rb3TlGa2Sn9 PBE-GGA optimized geometry
# M_tot (μB per atom): 0.000
# ΔH_f (0 K) (eV/f.u.): 1.43
# Density of states at the Fermi level (states/eV per cell): 9.49
# Mass density (g cm⁻³): 4.327
data_Rb3TlGa2Sn9
_chemical_formula_sum 'Rb3 Tl1 Ga2 Sn9'
_space_group_name_H-M_alt 'P -3 m 1'
_space_group_IT_number 164
_space_group_name_Hall '-P 3 2"'
_cell_length_a 8.9877
_cell_length_b 8.9877
_cell_length_c 9.1531
_cell_angle_alpha 90.00
_cell_angle_beta 90.00
_cell_angle_gamma 120.00
loop_
_atom_site_label
_atom_site_type_symbol
_atom_site_fract_x
_atom_site_fract_y
_atom_site_fract_z
Rb1 Rb 0.0000 0.0000 0.0000
Rb2 Rb 0.3333 0.6667 0.6060
Tl1 Tl 0.0000 0.0000 0.5000
Ga1 Ga 0.3333 0.6667 0.9610
Sn1 Sn 0.0000 0.5000 0.0000
Sn2 Sn 0.2172 0.4344 0.2433



[2]
# RbTlGaSn2 PBE-GGA optimized geometry
# M_tot (μB per atom): 0.000
# ΔH_f (0 K) (eV/f.u.): -0.50
# Density of states at the Fermi level (states/eV per cell): 4.56
# Mass density (g cm⁻³): 6.126
data_RbTlGaSn2
_chemical_formula_sum 'Rb2 Tl2 Ga2 Sn4'
_space_group_name_H-M_alt 'I -4 m 2'
_space_group_IT_number 119
_space_group_name_Hall 'I -4 -2'
_cell_length_a 5.2838
_cell_length_b 5.2838
_cell_length_c 11.5927
_cell_angle_alpha 90.00
_cell_angle_beta 90.00
_cell_angle_gamma 90.00
loop_
_atom_site_label
_atom_site_type_symbol
_atom_site_fract_x
_atom_site_fract_y
_atom_site_fract_z
Rb1 Rb 0.0000 0.0000 0.0000
Tl1 Tl 0.0000 0.5000 0.2500
Ga1 Ga 0.0000 0.5000 0.7500
Sn1 Sn 0.0000 0.0000 0.3736



[3]
# Rb2ZnGa2Sn6 PBE-GGA optimized geometry
# M_tot (μB per atom): 0.000
# ΔH_f (0 K) (eV/f.u.): -0.15
# Density of states at the Fermi level (states/eV per cell): 7.79
# Mass density (g cm⁻³): 5.486
data_Rb2ZnGa2Sn6
_chemical_formula_sum 'Rb4 Zn2 Ga4 Sn12'
_space_group_name_H-M_alt 'C 1 2/m 1'
_space_group_IT_number 12
_space_group_name_Hall '-C 2y'
_cell_length_a 13.2376
_cell_length_b 6.4687
_cell_length_c 7.8941
_cell_angle_alpha 90.00
_cell_angle_beta 102.97
_cell_angle_gamma 90.00
loop_
_atom_site_label
_atom_site_type_symbol
_atom_site_fract_x
_atom_site_fract_y
_atom_site_fract_z
Rb1 Rb 0.2210 0.0000 0.3938
Zn1 Zn 0.0000 0.0000 0.0000
Ga1 Ga 0.0830 0.5000 0.1246
Sn1 Sn 0.0389 0.2546 0.6964
Sn2 Sn 0.2126 0.0000 0.9241



[4]
# Rb2SrGa PBE-GGA optimized geometry
# M_tot (μB per atom): 0.000
# ΔH_f (0 K) (eV/f.u.): 1.06
# Density of states at the Fermi level (states/eV per cell): 14.31
# Mass density (g cm⁻³): 2.764
data_Rb2SrGa
_chemical_formula_sum 'Rb8 Sr4 Ga4'
_space_group_name_H-M_alt 'I -4 2 d'
_space_group_IT_number 122
_space_group_name_Hall 'I -4 2bw'
_cell_length_a 5.2167
_cell_length_b 5.2167
_cell_length_c 28.9883
_cell_angle_alpha 90.00
_cell_angle_beta 90.00
_cell_angle_gamma 90.00
loop_
_atom_site_label
_atom_site_type_symbol
_atom_site_fract_x
_atom_site_fract_y
_atom_site_fract_z
Rb1 Rb 0.2307 0.2500 0.1250
Sr1 Sr 0.0000 0.0000 0.5000
Ga1 Ga 0.0000 0.0000 0.0000



[5]
# RbSrGa2 PBE-GGA optimized geometry
# M_tot (μB per atom): 0.000
# ΔH_f (0 K) (eV/f.u.): 0.18
# Density of states at the Fermi level (states/eV per cell): 15.41
# Mass density (g cm⁻³): 3.905
data_RbSrGa2
_chemical_formula_sum 'Rb4 Sr4 Ga8'
_space_group_name_H-M_alt 'F m -3 m'
_space_group_IT_number 225
_space_group_name_Hall '-F 4 2 3'
_cell_length_a 8.1009
_cell_length_b 8.1009
_cell_length_c 8.1009
_cell_angle_alpha 90.00
_cell_angle_beta 90.00
_cell_angle_gamma 90.00
loop_
_atom_site_label
_atom_site_type_symbol
_atom_site_fract_x
_atom_site_fract_y
_atom_site_fract_z
Rb1 Rb 0.0000 0.0000 0.0000
Sr1 Sr 0.0000 0.0000 0.5000
Ga1 Ga 0.2500 0.2500 0.2500



[6]
# RbSr2Ga PBE-GGA optimized geometry
# M_tot (μB per atom): 0.000
# ΔH_f (0 K) (eV/f.u.): -0.54
# Density of states at the Fermi level (states/eV per cell): 2.41
# Mass density (g cm⁻³): 2.924
data_RbSr2Ga
_chemical_formula_sum 'Rb1 Sr2 Ga1'
_space_group_name_H-M_alt 'P 4/m m m'
_space_group_IT_number 123
_space_group_name_Hall '-P 4 2'
_cell_length_a 4.0458
_cell_length_b 4.0458
_cell_length_c 11.4651
_cell_angle_alpha 90.00
_cell_angle_beta 90.00
_cell_angle_gamma 90.00
loop_
_atom_site_label
_atom_site_type_symbol
_atom_site_fract_x
_atom_site_fract_y
_atom_site_fract_z
Rb1 Rb 0.0000 0.0000 0.0000
Sr1 Sr 0.5000 0.5000 0.3422
Ga1 Ga 0.0000 0.0000 0.5000



[7]
# RbSr2Ga PBE-GGA optimized geometry
# M_tot (μB per atom): 0.000
# ΔH_f (0 K) (eV/f.u.): 0.34
# Density of states at the Fermi level (states/eV per cell): 8.43
# Mass density (g cm⁻³): 2.659
data_RbSr2Ga
_chemical_formula_sum 'Rb4 Sr8 Ga4'
_space_group_name_H-M_alt 'I -4 2 d'
_space_group_IT_number 122
_space_group_name_Hall 'I -4 2bw'
_cell_length_a 10.2490
_cell_length_b 10.2490
_cell_length_c 7.8574
_cell_angle_alpha 90.00
_cell_angle_beta 90.00
_cell_angle_gamma 90.00
loop_
_atom_site_label
_atom_site_type_symbol
_atom_site_fract_x
_atom_site_fract_y
_atom_site_fract_z
Rb1 Rb 0.0000 0.0000 0.0000
Sr1 Sr 0.1519 0.7500 0.6250
Ga1 Ga 0.0000 0.0000 0.5000



[8]
# RbSr3Ga PBE-GGA optimized geometry
# M_tot (μB per atom): 0.406
# ΔH_f (0 K) (eV/f.u.): 4.91
# Density of states at the Fermi level (states/eV per cell): 10.29
# Mass density (g cm⁻³): 2.203
data_RbSr3Ga
_chemical_formula_sum 'Rb1 Sr3 Ga1'
_space_group_name_H-M_alt 'P m -3 m'
_space_group_IT_number 221
_space_group_name_Hall '-P 4 2 3'
_cell_length_a 6.8050
_cell_length_b 6.8050
_cell_length_c 6.8050
_cell_angle_alpha 90.00
_cell_angle_beta 90.00
_cell_angle_gamma 90.00
loop_
_atom_site_label
_atom_site_type_symbol
_atom_site_fract_x
_atom_site_fract_y
_atom_site_fract_z
Rb1 Rb 0.0000 0.0000 0.0000
Sr1 Sr 0.0000 0.0000 0.5000
Ga1 Ga 0.5000 0.5000 0.5000